# KCSeI2 (PBE, optimized geometry)
data_KCSeI2
_cell_length_a 4.801
_cell_length_b 6.419
_cell_length_c 4.801
_cell_angle_alpha 90.00
_cell_angle_beta 90.00
_cell_angle_gamma 90.00
_symmetry_space_group_name_H-M 'P 1'
_symmetry_Int_Tables_number 1
loop_
_symmetry_equiv_pos_as_xyz
'x,y,z'
loop_
_atom_site_label
_atom_site_fract_x
_atom_site_fract_y
_atom_site_fract_z
I1 0.000 0.000 0.500
I2 0.500 0.000 0.000
K1 0.000 0.500 0.000
C1 0.000 0.000 0.000
Se1 0.500 0.500 0.500
# - volume (A^3/atom) = 29.6
# - DFT total energy (eV/f.u.) = -12.5
# - magnetization (Bohr magnetons per cell) = 0.67
# - calculated density (g/cm3) = 4.31
# - energy relative to the elements, uncorrected (eV/atom) = 0.88


# K2SrCI (PBE, optimized geometry)
data_K2SrCI
_cell_length_a 5.979
_cell_length_b 5.065
_cell_length_c 5.979
_cell_angle_alpha 90.00
_cell_angle_beta 90.00
_cell_angle_gamma 90.00
_symmetry_space_group_name_H-M 'P 1'
_symmetry_Int_Tables_number 1
loop_
_symmetry_equiv_pos_as_xyz
'x,y,z'
loop_
_atom_site_label
_atom_site_fract_x
_atom_site_fract_y
_atom_site_fract_z
I1 0.500 0.500 0.500
Sr1 0.000 0.500 0.000
K1 0.000 0.000 0.500
K2 0.500 0.000 0.000
C1 0.000 0.000 0.000
# - volume (A^3/atom) = 36.2
# - DFT total energy (eV/f.u.) = -13.9
# - magnetization (Bohr magnetons per cell) = 0.59
# - calculated density (g/cm3) = 2.79
# - energy relative to the elements, uncorrected (eV/atom) = 0.14


# KTeCI2 (PBE, optimized geometry)
data_KTeCI2
_cell_length_a 6.107
_cell_length_b 6.107
_cell_length_c 4.368
_cell_angle_alpha 90.00
_cell_angle_beta 90.00
_cell_angle_gamma 90.00
_symmetry_space_group_name_H-M 'P 1'
_symmetry_Int_Tables_number 1
loop_
_symmetry_equiv_pos_as_xyz
'x,y,z'
loop_
_atom_site_label
_atom_site_fract_x
_atom_site_fract_y
_atom_site_fract_z
I1 0.000 0.500 0.000
I2 0.500 0.000 0.000
K1 0.500 0.500 0.500
Te1 0.000 0.000 0.500
C1 0.000 0.000 0.000
# - volume (A^3/atom) = 32.6
# - DFT total energy (eV/f.u.) = -14.3
# - magnetization (Bohr magnetons per cell) = 0.00
# - energy above the lowest structure with this stoichiometry (eV per atom) = 0.000
# - calculated density (g/cm3) = 4.41
# - energy relative to the elements, uncorrected (eV/atom) = 0.46


# KTeCI2 (PBE, optimized geometry)
data_KTeCI2
_cell_length_a 6.609
_cell_length_b 6.609
_cell_length_c 6.959
_cell_angle_alpha 90.00
_cell_angle_beta 90.00
_cell_angle_gamma 90.00
_symmetry_space_group_name_H-M 'P 1'
_symmetry_Int_Tables_number 1
loop_
_symmetry_equiv_pos_as_xyz
'x,y,z'
loop_
_atom_site_label
_atom_site_fract_x
_atom_site_fract_y
_atom_site_fract_z
I1 0.000 0.500 0.000
I2 0.500 0.000 0.000
K1 0.000 0.000 0.000
Te1 0.000 0.000 0.500
C1 0.500 0.500 0.500
# - volume (A^3/atom) = 60.8
# - DFT total energy (eV/f.u.) = -8.5
# - magnetization (Bohr magnetons per cell) = 1.04
# - energy above the lowest structure with this stoichiometry (eV per atom) = 1.146
# - calculated density (g/cm3) = 2.36
# - energy relative to the elements, uncorrected (eV/atom) = 1.61


# KZr6CI14 (PBE, optimized geometry)
data_KZr6CI14
_cell_length_a 11.326
_cell_length_b 11.326
_cell_length_c 12.847
_cell_angle_alpha 90.00
_cell_angle_beta 90.00
_cell_angle_gamma 90.31
_symmetry_space_group_name_H-M 'P 1'
_symmetry_Int_Tables_number 1
loop_
_symmetry_equiv_pos_as_xyz
'x,y,z'
loop_
_atom_site_label
_atom_site_fract_x
_atom_site_fract_y
_atom_site_fract_z
K1 0.500 0.500 0.000
K2 0.000 0.000 0.500
Zr1 0.381 0.381 0.593
Zr2 0.619 0.619 0.407
Zr3 0.119 0.119 0.093
Zr4 0.881 0.881 0.907
Zr5 0.160 0.952 0.890
Zr6 0.840 0.048 0.110
Zr7 0.340 0.548 0.390
Zr8 0.452 0.660 0.610
Zr9 0.660 0.452 0.610
Zr10 0.548 0.340 0.390
Zr11 0.048 0.840 0.110
Zr12 0.952 0.160 0.890
C1 0.000 0.000 0.000
C2 0.500 0.500 0.500
I1 0.344 0.095 0.990
I2 0.656 0.905 0.010
I3 0.156 0.405 0.490
I4 0.595 0.844 0.510
I5 0.844 0.595 0.510
I6 0.405 0.156 0.490
I7 0.905 0.656 0.010
I8 0.095 0.344 0.990
I9 0.251 0.749 0.000
I10 0.749 0.251 0.000
I11 0.249 0.751 0.500
I12 0.751 0.249 0.500
I13 0.386 0.886 0.750
I14 0.614 0.114 0.250
I15 0.114 0.614 0.250
I16 0.886 0.386 0.750
I17 0.138 0.138 0.732
I18 0.862 0.862 0.268
I19 0.362 0.362 0.232
I20 0.638 0.638 0.768
I21 0.536 0.291 0.753
I22 0.464 0.709 0.247
I23 0.964 0.209 0.253
I24 0.791 0.036 0.747
I25 0.036 0.791 0.747
I26 0.209 0.964 0.253
I27 0.709 0.464 0.247
I28 0.291 0.536 0.753
# - volume (A^3/atom) = 37.5
# - DFT total energy (eV/f.u.) = -105.4
# - magnetization (Bohr magnetons per cell) = 0.00
# - calculated density (g/cm3) = 4.79
# - energy relative to the elements, uncorrected (eV/atom) = -1.00


# La2CI (PBE, optimized geometry)
data_La2CI
_cell_length_a 5.192
_cell_length_b 5.192
_cell_length_c 5.192
_cell_angle_alpha 60.00
_cell_angle_beta 60.00
_cell_angle_gamma 60.00
_symmetry_space_group_name_H-M 'P 1'
_symmetry_Int_Tables_number 1
loop_
_symmetry_equiv_pos_as_xyz
'x,y,z'
loop_
_atom_site_label
_atom_site_fract_x
_atom_site_fract_y
_atom_site_fract_z
I1 0.500 0.500 0.500
C1 0.000 0.000 0.000
La1 0.250 0.250 0.250
La2 0.750 0.750 0.750
# - volume (A^3/atom) = 24.7
# - DFT total energy (eV/f.u.) = -20.0
# - magnetization (Bohr magnetons per cell) = 0.00
# - calculated density (g/cm3) = 6.99
# - energy relative to the elements, uncorrected (eV/atom) = 0.15


# La5C2I9 (PBE, optimized geometry)
data_La5C2I9
_cell_length_a 8.181
_cell_length_b 10.302
_cell_length_c 14.704
_cell_angle_alpha 79.97
_cell_angle_beta 80.61
_cell_angle_gamma 85.27
_symmetry_space_group_name_H-M 'P 1'
_symmetry_Int_Tables_number 1
loop_
_symmetry_equiv_pos_as_xyz
'x,y,z'
loop_
_atom_site_label
_atom_site_fract_x
_atom_site_fract_y
_atom_site_fract_z
La1 0.776 0.366 0.258
La2 0.156 0.528 0.305
La3 0.236 0.336 0.085
La4 0.947 0.036 0.178
La5 0.830 0.854 0.638
La6 0.224 0.634 0.742
La7 0.764 0.664 0.915
La8 0.170 0.146 0.362
La9 0.844 0.472 0.695
La10 0.053 0.964 0.822
C1 0.961 0.777 0.780
C2 0.090 0.344 0.244
C3 0.910 0.656 0.756
C4 0.039 0.223 0.220
I1 0.242 0.862 0.274
I2 0.803 0.002 0.413
I3 0.900 0.352 0.471
I4 0.465 0.851 0.797
I5 0.577 0.651 0.579
I6 0.521 0.447 0.863
I7 0.197 0.998 0.587
I8 0.759 0.940 0.000
I9 0.188 0.321 0.737
I10 0.100 0.648 0.529
I11 0.812 0.679 0.263
I12 0.423 0.349 0.421
I13 0.241 0.060 0.000
I14 0.479 0.553 0.137
I15 0.130 0.651 0.982
I16 0.870 0.349 0.018
I17 0.535 0.149 0.203
I18 0.758 0.138 0.726
# - volume (A^3/atom) = 37.6
# - DFT total energy (eV/f.u.) = -78.1
# - magnetization (Bohr magnetons per cell) = 0.00
# - calculated density (g/cm3) = 5.14
# - energy relative to the elements, uncorrected (eV/atom) = -1.32


# La3CI5 (PBE, optimized geometry)
data_La3CI5
_cell_length_a 8.133
_cell_length_b 9.844
_cell_length_c 9.962
_cell_angle_alpha 106.93
_cell_angle_beta 96.95
_cell_angle_gamma 104.40
_symmetry_space_group_name_H-M 'P 1'
_symmetry_Int_Tables_number 1
loop_
_symmetry_equiv_pos_as_xyz
'x,y,z'
loop_
_atom_site_label
_atom_site_fract_x
_atom_site_fract_y
_atom_site_fract_z
La1 0.629 0.865 0.818
La2 0.034 0.732 0.925
La3 0.109 0.042 0.776
La4 0.966 0.268 0.075
La5 0.891 0.958 0.224
La6 0.371 0.135 0.182
C1 0.085 0.030 0.041
C2 0.915 0.970 0.959
I1 0.197 0.735 0.647
I2 0.911 0.628 0.181
I3 0.089 0.372 0.819
I4 0.750 0.916 0.537
I5 0.250 0.084 0.463
I6 0.662 0.542 0.726
I7 0.458 0.809 0.092
I8 0.803 0.265 0.353
I9 0.338 0.458 0.274
I10 0.542 0.191 0.908
# - volume (A^3/atom) = 40.2
# - DFT total energy (eV/f.u.) = -43.7
# - magnetization (Bohr magnetons per cell) = 0.00
# - calculated density (g/cm3) = 4.89
# - energy relative to the elements, uncorrected (eV/atom) = -1.33


# LaCI (PBE, optimized geometry)
data_LaCI
_cell_length_a 4.204
_cell_length_b 4.223
_cell_length_c 12.038
_cell_angle_alpha 82.97
_cell_angle_beta 79.95
_cell_angle_gamma 60.15
_symmetry_space_group_name_H-M 'P 1'
_symmetry_Int_Tables_number 1
loop_
_symmetry_equiv_pos_as_xyz
'x,y,z'
loop_
_atom_site_label
_atom_site_fract_x
_atom_site_fract_y
_atom_site_fract_z
La1 0.842 0.955 0.361
La2 0.158 0.045 0.639
C1 0.534 0.387 0.546
C2 0.466 0.613 0.454
I1 0.258 0.309 0.176
I2 0.742 0.691 0.824
# - volume (A^3/atom) = 30.4
# - DFT total energy (eV/f.u.) = -18.2
# - magnetization (Bohr magnetons per cell) = 0.00
# - calculated density (g/cm3) = 5.06
# - energy relative to the elements, uncorrected (eV/atom) = -0.84